[1]
Pr4Bi2C: relaxed, GGA-PBE.

a b c (Å): 4.093 8.723 8.658
angles (deg): 134.68 103.67 90.00
Fractional coordinates of all 7 atoms:
1 C 0.000 0.000 0.000
2 Pr 0.941 0.204 0.882
3 Pr 0.645 0.238 0.290
4 Pr 0.059 0.796 0.118
5 Pr 0.355 0.762 0.710
6 Bi 0.658 0.643 0.315
7 Bi 0.342 0.357 0.685

DFT total energy in eV per atom: -5.669

***

[2]
Pr3Bi2C: relaxed, GGA-PBE.

a b c (Å): 3.788 6.370 8.242
angles (deg): 112.73 103.28 90.00
Fractional coordinates of all 6 atoms:
1 C 0.000 0.500 0.000
2 Bi 0.318 0.818 0.637
3 Bi 0.682 0.182 0.363
4 Pr 0.620 0.620 0.240
5 Pr 0.380 0.380 0.760
6 Pr 0.000 0.000 0.000

DFT total energy in eV per atom: -5.636

***

[3]
Pr2Sc2Bi2C: relaxed, GGA-PBE.

a b c (Å): 4.621 4.621 8.903
angles (deg): 105.04 105.04 90.00
Fractional coordinates of all 7 atoms:
1 Sc 0.500 0.000 0.000
2 Sc 0.000 0.500 0.000
3 Pr 0.162 0.162 0.323
4 Pr 0.838 0.838 0.677
5 Bi 0.633 0.633 0.266
6 Bi 0.367 0.367 0.734
7 C 0.000 0.000 0.000

DFT total energy in eV per atom: -6.383

***

[4]
PrSm2BiC: relaxed, GGA-PBE.

a b c (Å): 5.183 5.051 5.051
angles (deg): 90.00 90.00 90.00
Fractional coordinates of all 5 atoms:
1 Sm 0.000 0.500 0.000
2 Sm 0.000 0.000 0.500
3 C 0.000 0.000 0.000
4 Pr 0.500 0.000 0.000
5 Bi 0.500 0.500 0.500

DFT total energy in eV per atom: -5.923

***

[5]
Pr4SnBiC: relaxed, GGA-PBE.

a b c (Å): 7.183 7.185 9.061
angles (deg): 90.00 113.35 90.00
Fractional coordinates of all 14 atoms:
1 Sn 0.889 0.750 0.778
2 Sn 0.111 0.250 0.222
3 C 0.249 0.750 0.499
4 C 0.751 0.250 0.501
5 Pr 0.000 0.000 0.500
6 Pr 0.500 0.000 0.500
7 Pr 0.500 0.500 0.500
8 Pr 0.407 0.750 0.815
9 Pr 0.911 0.250 0.822
10 Pr 0.000 0.500 0.500
11 Pr 0.593 0.250 0.185
12 Pr 0.089 0.750 0.178
13 Bi 0.608 0.750 0.215
14 Bi 0.392 0.250 0.785

DFT total energy in eV per atom: -5.718

***

[6]
Pr2Th2Bi2C: relaxed, GGA-PBE.

a b c (Å): 4.955 4.955 9.304
angles (deg): 105.44 105.44 90.00
Fractional coordinates of all 7 atoms:
1 Pr 0.162 0.162 0.324
2 Pr 0.838 0.838 0.676
3 Th 0.000 0.500 0.000
4 Th 0.500 0.000 0.000
5 C 0.000 0.000 0.000
6 Bi 0.643 0.643 0.286
7 Bi 0.357 0.357 0.714

DFT total energy in eV per atom: -6.466

***

[7]
Pr4TlBiC: relaxed, GGA-PBE.

a b c (Å): 7.203 7.198 9.068
angles (deg): 90.00 113.40 90.00
Fractional coordinates of all 14 atoms:
1 C 0.750 0.250 0.499
2 C 0.250 0.750 0.501
3 Pr 0.000 0.000 0.500
4 Pr 0.913 0.250 0.826
5 Pr 0.000 0.500 0.500
6 Pr 0.408 0.750 0.817
7 Pr 0.087 0.750 0.174
8 Pr 0.592 0.250 0.183
9 Pr 0.500 0.000 0.500
10 Pr 0.500 0.500 0.500
11 Bi 0.609 0.750 0.217
12 Bi 0.391 0.250 0.783
13 Tl 0.112 0.250 0.224
14 Tl 0.888 0.750 0.776

DFT total energy in eV per atom: -5.360

***

[8]
Pr2Tm5Bi3C2: relaxed, GGA-PBE.

a b c (Å): 4.810 4.810 13.636
angles (deg): 100.16 100.16 90.00
Fractional coordinates of all 12 atoms:
1 C 0.590 0.590 0.181
2 C 0.410 0.410 0.819
3 Tm 0.592 0.092 0.184
4 Tm 0.500 0.500 0.000
5 Tm 0.408 0.908 0.816
6 Tm 0.092 0.592 0.184
7 Tm 0.908 0.408 0.816
8 Bi 0.823 0.823 0.645
9 Bi 0.177 0.177 0.355
10 Bi 0.000 0.000 0.000
11 Pr 0.305 0.305 0.610
12 Pr 0.695 0.695 0.390

DFT total energy in eV per atom: -5.821

***

[9]
Bi3PtC: relaxed, GGA-PBE.

a b c (Å): 4.882 4.882 4.882
angles (deg): 90.00 90.00 90.00
Fractional coordinates of all 5 atoms:
1 Bi 0.000 0.500 0.000
2 Bi 0.000 0.000 0.500
3 Bi 0.500 0.000 0.000
4 Pt 0.500 0.500 0.500
5 C 0.000 0.000 0.000

DFT total energy in eV per atom: -4.402

***

[10]
Bi3PtC: relaxed, GGA-PBE.

a b c (Å): 5.434 5.434 5.434
angles (deg): 90.00 90.00 90.00
Site moments in Bohr magnetons follow the coordinates.
Fractional coordinates of all 5 atoms:
1 Bi 0.000 0.500 0.000  -0.07
2 Bi 0.500 0.000 0.000  -0.09
3 Bi 0.000 0.000 0.500  -0.19
4 C 0.500 0.500 0.500  0.77
5 Pt 0.000 0.000 0.000  -0.06

DFT total energy in eV per atom: -3.749

***

[11]
BiPt3C: relaxed, GGA-PBE.

a b c (Å): 5.097 5.097 5.097
angles (deg): 90.00 90.00 90.00
Site moments in Bohr magnetons follow the coordinates.
Fractional coordinates of all 5 atoms:
1 Pt 0.000 0.500 0.000  -0.12
2 Pt 0.500 0.000 0.000  -0.15
3 Pt 0.000 0.000 0.500  -0.07
4 Bi 0.000 0.000 0.000  -0.04
5 C 0.500 0.500 0.500  0.63

DFT total energy in eV per atom: -3.736

***

[12]
BiPt2C: relaxed, GGA-PBE.

a b c (Å): 4.583 4.583 4.583
angles (deg): 60.00 60.00 60.00
Fractional coordinates of all 4 atoms:
1 C 0.000 0.000 0.000
2 Pt 0.250 0.250 0.250
3 Pt 0.750 0.750 0.750
4 Bi 0.500 0.500 0.500

DFT total energy in eV per atom: -4.988

***

| no. | calculated density (g cm⁻³) |
| --- | --- |
| 1 | 8.0 |
| 2 | 8.0 |
| 3 | 7.5 |
| 4 | 8.3 |
| 5 | 7.0 |
| 6 | 9.2 |
| 7 | 7.6 |
| 8 | 9.7 |
| 9 | 11.9 |
| 10 | 8.6 |
| 11 | 10.1 |
| 12 | 14.9 |